Entry 1:
The following is a DFT calculation (GGA-PBE) of EuCdGe after structural relaxation.

Lattice parameters (Å, degrees): 7.5858 4.5565 8.5766 90.00 90.00 90.00
Last column: nearest neighbours and their distance in Å.
Atoms (fractional coordinates):
Eu 0.0169 0.2500 0.1874  5 Ge 3.20-3.29, 6 Cd 3.37-3.54
Eu 0.4831 0.7500 0.6874  5 Ge 3.20-3.29, 6 Cd 3.37-3.54
Eu 0.5169 0.2500 0.3126  5 Ge 3.20-3.29, 6 Cd 3.37-3.54
Eu 0.9831 0.7500 0.8126  5 Ge 3.20-3.29, 6 Cd 3.37-3.54
Cd 0.1530 0.2500 0.5659  4 Ge 2.81-2.95
Cd 0.3470 0.7500 0.0659  4 Ge 2.81-2.95
Cd 0.6530 0.2500 0.9341  4 Ge 2.81-2.95
Cd 0.8470 0.7500 0.4341  4 Ge 2.81-2.95
Ge 0.2326 0.7500 0.3878  4 Cd 2.81-2.95
Ge 0.2674 0.2500 0.8878  4 Cd 2.81-2.95
Ge 0.7326 0.7500 0.1122  4 Cd 2.81-2.95
Ge 0.7674 0.2500 0.6122  4 Cd 2.81-2.95

Properties
The density of states at the Fermi level is 36.39 states/eV/cell. Its space group is Pnma, No. 62. Its total energy is -5.787 eV/atom. As for the formation energy: -1.55 eV/f.u.

***

Entry 2:
The following is a DFT calculation (GGA-PBE) of Eu2CdGe after structural relaxation.

Lattice parameters (Å, degrees): 5.3956 5.3956 5.3956 60.00 60.00 60.00
Last column: nearest neighbours and their distance in Å.
Atoms (fractional coordinates):
Eu 0.2500 0.2500 0.2500  4 Cd 3.30, 4 Ge 3.30
Eu 0.7500 0.7500 0.7500  4 Cd 3.30, 4 Ge 3.30
Cd 0.0000 0.0000 0.0000  8 Eu 3.30
Ge 0.5000 0.5000 0.5000  8 Eu 3.30

Properties
The density of states at the Fermi level is 1.14 states/eV/cell. Its space group is Fm-3m, No. 225. Its total energy is -7.023 eV/atom. As for the formation energy: -2.01 eV/f.u.

***

Entry 3:
The following is a DFT calculation (GGA-PBE) of EuCdGe2 after structural relaxation.

Lattice parameters (Å, degrees): 4.5730 4.5730 4.2779 90.00 90.00 90.00
Last column: nearest neighbours and their distance in Å.
Atoms (fractional coordinates):
Eu 0.0000 0.0000 0.0000  8 Ge 3.13, 4 Cd 3.23
Cd 0.5000 0.5000 0.0000  8 Ge 3.13, 4 Eu 3.23
Ge 0.0000 0.5000 0.5000  4 Cd 3.13, 4 Eu 3.13, 4 Ge 3.23
Ge 0.5000 0.0000 0.5000  4 Cd 3.13, 4 Eu 3.13, 4 Ge 3.23

Properties
The density of states at the Fermi level is 1.61 states/eV/cell. Its space group is P4/mmm, No. 123. Its total energy is -5.420 eV/atom. As for the formation energy: -1.26 eV/f.u. The relative energy among the computed polymorphs comes out at 0 meV/atom.

***

Entry 4:
The following is a DFT calculation (GGA-PBE) of EuCd4Ge after structural relaxation.

Lattice parameters (Å, degrees): 5.9524 5.9524 5.9524 60.00 60.00 60.00
Last column: nearest neighbours and their distance in Å.
Atoms (fractional coordinates):
Eu 0.0000 0.0000 0.0000  12 Cd 3.49, 4 Ge 3.65
Cd 0.1260 0.6247 0.6247  6 Cd 2.97-2.98
Cd 0.6247 0.1260 0.6247  6 Cd 2.97-2.98
Cd 0.6247 0.6247 0.1260  6 Cd 2.97-2.98
Cd 0.6247 0.6247 0.6247  6 Cd 2.97-2.98
Ge 0.2500 0.2500 0.2500  12 Cd 3.49, 4 Eu 3.65

Properties
The density of states at the Fermi level is 12.29 states/eV/cell. Its space group is F-43m, No. 216. Its total energy is -3.173 eV/atom. As for the formation energy: -0.48 eV/f.u.

***

Entry 5:
The following is a DFT calculation (GGA-PBE) of EuCdGe after structural relaxation.

Lattice parameters (Å, degrees): 6.4618 6.4618 6.4618 148.03 148.03 45.84
Last column: nearest neighbours and their distance in Å.
Atoms (fractional coordinates):
Eu 0.0000 0.0000 0.0000  4 Ge 3.24, 4 Cd 3.40, 4 Eu 3.56
Cd 0.6916 0.6916 0.0000  4 Ge 3.00
Ge 0.3288 0.3288 0.0000  4 Cd 3.00, 4 Eu 3.24

Properties
The density of states at the Fermi level is 4.92 states/eV/cell. Its space group is I4mm, No. 107. Its total energy is -5.515 eV/atom. As for the formation energy: -0.74 eV/f.u.

***

Entry 6:
The following is a DFT calculation (GGA-PBE) of EuHoCdGe after structural relaxation.

Lattice parameters (Å, degrees): 5.2437 5.2437 5.2437 60.00 60.00 60.00
Last column: nearest neighbours and their distance in Å.
Atoms (fractional coordinates):
Eu 0.0000 0.0000 0.0000  4 Cd 3.21, 4 Ge 3.21
Ho 0.5000 0.5000 0.5000  4 Ge 3.21, 4 Cd 3.21
Cd 0.7500 0.7500 0.7500  4 Ho 3.21, 4 Eu 3.21
Ge 0.2500 0.2500 0.2500  4 Ho 3.21, 4 Eu 3.21

Properties
The density of states at the Fermi level is 2.82 states/eV/cell. Its space group is F-43m, No. 216. Its total energy is -5.544 eV/atom. As for the formation energy: -1.79 eV/f.u.

***

Entry 7:
The following is a DFT calculation (GGA-PBE) of LaEuCdGe after structural relaxation.

Lattice parameters (Å, degrees): 5.4083 5.4083 5.4083 60.00 60.00 60.00
Last column: nearest neighbours and their distance in Å.
Atoms (fractional coordinates):
La 0.0000 0.0000 0.0000  4 Cd 3.31, 4 Ge 3.31
Eu 0.5000 0.5000 0.5000  4 Ge 3.31, 4 Cd 3.31
Cd 0.7500 0.7500 0.7500  4 La 3.31, 4 Eu 3.31
Ge 0.2500 0.2500 0.2500  4 La 3.31, 4 Eu 3.31

Properties
The density of states at the Fermi level is 2.95 states/eV/cell. Its space group is F-43m, No. 216. Its total energy is -5.683 eV/atom. As for the formation energy: -2.00 eV/f.u.

***

Entry 8:
The following is a DFT calculation (GGA-PBE) of EuLuCdGe after structural relaxation.

Lattice parameters (Å, degrees): 5.2081 5.2081 5.2081 60.00 60.00 60.00
Last column: nearest neighbours and their distance in Å.
Atoms (fractional coordinates):
Eu 0.0000 0.0000 0.0000  4 Ge 3.19, 4 Cd 3.19
Lu 0.5000 0.5000 0.5000  4 Cd 3.19, 4 Ge 3.19
Cd 0.2500 0.2500 0.2500  4 Lu 3.19, 4 Eu 3.19
Ge 0.7500 0.7500 0.7500  4 Eu 3.19, 4 Lu 3.19

Properties
The density of states at the Fermi level is 2.87 states/eV/cell. Its space group is F-43m, No. 216. Its total energy is -5.503 eV/atom. As for the formation energy: -1.68 eV/f.u.

***

Entry 9:
The following is a DFT calculation (GGA-PBE) of NaEuCdGe after structural relaxation.

Lattice parameters (Å, degrees): 5.2303 5.2303 5.2303 60.00 60.00 60.00
Last column: nearest neighbours and their distance in Å.
Atoms (fractional coordinates):
Na 0.0000 0.0000 0.0000  4 Cd 3.20, 4 Ge 3.20
Eu 0.5000 0.5000 0.5000  4 Ge 3.20, 4 Cd 3.20
Cd 0.7500 0.7500 0.7500  4 Na 3.20, 4 Eu 3.20
Ge 0.2500 0.2500 0.2500  4 Na 3.20, 4 Eu 3.20

Properties
The density of states at the Fermi level is 9.69 states/eV/cell. Its space group is F-43m, No. 216. Its total energy is -4.549 eV/atom. As for the formation energy: -1.07 eV/f.u.

***

Entry 10:
The following is a DFT calculation (GGA-PBE) of PmEuCdGe after structural relaxation.

Lattice parameters (Å, degrees): 5.3231 5.3231 5.3231 60.00 60.00 60.00
Last column: nearest neighbours and their distance in Å.
Atoms (fractional coordinates):
Pm 0.0000 0.0000 0.0000  4 Cd 3.26, 4 Ge 3.26
Eu 0.5000 0.5000 0.5000  4 Ge 3.26, 4 Cd 3.26
Cd 0.7500 0.7500 0.7500  4 Eu 3.26, 4 Pm 3.26
Ge 0.2500 0.2500 0.2500  4 Eu 3.26, 4 Pm 3.26

Properties
The density of states at the Fermi level is 2.71 states/eV/cell. Its space group is F-43m, No. 216. Its total energy is -5.609 eV/atom. As for the formation energy: -1.88 eV/f.u.